No. 1
DFT (PBE-GGA) results for a relaxed NaInHg5 crystal.

Computed properties:
Its space-group type is Immm, No. 71.

abc: 5.7429 7.9750 7.9750
angles: 65.57 68.90 68.90
Sites, in units of the cell vectors:
Na (0.0000, 0.0000, 0.0000)
In (0.5000, 0.5000, 0.5000)
Hg (0.5000, 0.1677, 0.8323)
Hg (0.5000, 0.8323, 0.1677)
Hg (0.7505, 0.2495, 0.2495)
Hg (0.2495, 0.7505, 0.7505)
Hg (0.0000, 0.5000, 0.5000)

No. 2
DFT (PBE-GGA) results for a relaxed Na2InHg2 crystal.

Computed properties:
Its space-group type is P4/mbm, No. 127.

abc: 8.5143 8.5143 3.6197
angles: 90.00 90.00 90.00
Sites, in units of the cell vectors:
Na (0.1690, 0.6690, 0.5000)
Na (0.6690, 0.8310, 0.5000)
Na (0.8310, 0.3310, 0.5000)
Na (0.3310, 0.1690, 0.5000)
Hg (0.3702, 0.8702, 0.0000)
Hg (0.8702, 0.6298, 0.0000)
Hg (0.6298, 0.1298, 0.0000)
Hg (0.1298, 0.3702, 0.0000)
In (0.0000, 0.0000, 0.0000)
In (0.5000, 0.5000, 0.0000)

No. 3
DFT (PBE-GGA) results for a relaxed NaIn5Hg6 crystal.

Computed properties:
Its space-group type is C2/m, No. 12.

abc: 9.0479 5.0741 8.4764
angles: 72.58 80.73 57.42
Sites, in units of the cell vectors:
Na (0.0000, 0.0000, 0.0000)
In (0.5000, 0.1708, 0.6585)
In (0.0000, 0.3403, 0.3194)
In (0.5000, 0.5000, 0.0000)
In (0.0000, 0.6597, 0.6806)
In (0.5000, 0.8292, 0.3415)
Hg (0.7554, 0.0756, 0.3339)
Hg (0.2446, 0.5905, 0.3339)
Hg (0.2567, 0.2427, 0.0000)
Hg (0.7433, 0.7573, 0.0000)
Hg (0.7554, 0.4095, 0.6661)
Hg (0.2446, 0.9244, 0.6661)

No. 4
DFT (PBE-GGA) results for a relaxed Na9InHg2 crystal.

Computed properties:
Its space-group type is P4/mmm, No. 123.

abc: 4.9634 4.9634 14.3021
angles: 90.00 90.00 90.00
Sites, in units of the cell vectors:
Na (0.5000, 0.5000, 0.0000)
Na (0.5000, 0.5000, 0.3351)
Na (0.5000, 0.5000, 0.6649)
Na (0.5000, 0.0000, 0.1687)
Na (0.5000, 0.0000, 0.5000)
Na (0.5000, 0.0000, 0.8313)
Na (0.0000, 0.5000, 0.1687)
Na (0.0000, 0.5000, 0.5000)
Na (0.0000, 0.5000, 0.8313)
In (0.0000, 0.0000, 0.0000)
Hg (0.0000, 0.0000, 0.3332)
Hg (0.0000, 0.0000, 0.6668)

No. 5
DFT (PBE-GGA) results for a relaxed Na3In4Hg2 crystal.

Computed properties:
Its space-group type is P-1, No. 2.

abc: 6.0998 5.1399 8.9236
angles: 89.62 72.90 65.13
Sites, in units of the cell vectors:
Na (0.7167, 0.1426, 0.6736)
Na (0.0000, 0.0000, 0.0000)
Na (0.2833, 0.8574, 0.3264)
In (0.3671, 0.3155, 0.0709)
In (0.1119, 0.4447, 0.6413)
In (0.8881, 0.5553, 0.3587)
In (0.6329, 0.6845, 0.9291)
Hg (0.6187, 0.1905, 0.3380)
Hg (0.3813, 0.8095, 0.6620)

No. 6
DFT (PBE-GGA) results for a relaxed NaIn3Hg3 crystal.

Computed properties:
Its space-group type is C2/m, No. 12.

abc: 7.3616 7.3616 7.0368
angles: 89.90 89.90 95.00
Sites, in units of the cell vectors:
Na (0.2941, 0.2941, 0.9984)
Na (0.7059, 0.7059, 0.0016)
In (0.2255, 0.2255, 0.4996)
In (0.3486, 0.6514, 0.5000)
In (0.6514, 0.3486, 0.5000)
In (0.2498, 0.7502, 0.0000)
In (0.7502, 0.2498, 0.0000)
In (0.7745, 0.7745, 0.5004)
Hg (0.0000, 0.0000, 0.7765)
Hg (0.4992, 0.0003, 0.2558)
Hg (0.0003, 0.4992, 0.2558)
Hg (0.5008, 0.9997, 0.7442)
Hg (0.9997, 0.5008, 0.7442)
Hg (0.0000, 0.0000, 0.2235)

No. 7
DFT (PBE-GGA) results for a relaxed NaInHg crystal.

Computed properties:
Its space-group type is I4mm, No. 107.

abc: 3.9536 3.9536 5.6321
angles: 110.55 110.55 90.00
Sites, in units of the cell vectors:
Na (0.6132, 0.6132, 0.2263)
Hg (0.9467, 0.9467, 0.8933)
In (0.2902, 0.2902, 0.5804)

No. 8
DFT (PBE-GGA) results for a relaxed NaInHg crystal.

Computed properties:
Its space-group type is P6_3/mmc, No. 194.

abc: 5.0654 5.0641 6.9811
angles: 90.00 90.00 120.01
Sites, in units of the cell vectors:
Na (0.0000, 0.0000, 0.0000)
Na (0.0000, 0.0000, 0.5000)
In (0.3334, 0.6667, 0.2500)
In (0.6666, 0.3333, 0.7500)
Hg (0.6667, 0.3334, 0.2500)
Hg (0.3333, 0.6666, 0.7500)

Record-wise energy of formation from the pure elements values, in eV per atom: 0.08, -0.18, -0.06, -0.11, -0.15, -0.06, -0.14, -0.18